{
  "formula": "SnH2WF",
  "functional": "PBE with a Hubbard U",
  "state": "optimized geometry",
  "cell": [[-2.564, -2.712, -1.628], [1.561, -3.094, 2.697], [-2.813, 0.996, 2.771]],
  "species": ["H", "H", "W", "Sn", "F"],
  "frac_coords": [[0.000, 0.000, 0.500], [0.500, 0.000, 0.000], [0.500, 0.500, 0.500], [0.000, 0.500, 0.000], [0.000, 0.000, 0.000]],
  "total_energy_ev_per_atom": -3.1544,
  "rho_g_cm3": 7.38
}